No. 1
TbDy2Th | PBE | optimized geometry

Cell: 11.5633 11.5633 6.3890 Å, 94.64 94.64 17.51°
Last column: nearest neighbours and their distance in Å.
Positions (direct):
Tb: 0.0026 0.0026 0.2444  2 Tb 3.12-3.28, 2 Dy 3.39-3.46
Tb: 0.9974 0.9974 0.7556  2 Tb 3.12-3.28, 2 Dy 3.39-3.46
Dy: 0.1322 0.1322 0.5446  2 Tb 3.39-3.46, 3 Th 3.40-3.44, 6 Dy 3.52-3.71
Dy: 0.3798 0.3798 0.9688  6 Dy 3.52-3.71, 4 Tb 3.58-3.64, 3 Th 3.58-3.61
Dy: 0.6202 0.6202 0.0312  6 Dy 3.52-3.71, 4 Tb 3.58-3.64, 3 Th 3.58-3.61
Dy: 0.8678 0.8678 0.4554  2 Tb 3.39-3.46, 3 Th 3.40-3.44, 6 Dy 3.52-3.71
Th: 0.2481 0.2481 0.2439  6 Dy 3.40-3.61, 6 Th 3.52-3.71
Th: 0.7519 0.7519 0.7561  6 Dy 3.40-3.61, 6 Th 3.52-3.71

Properties
Energy of formation (eV/atom): 0.087
Magnetization (μB per atom): 0.00
D(E_F) (states/eV/atom): 1.50
V (Å³/atom): 32.022



No. 2
MnSn2Ir | PBE | optimized geometry

Cell: 8.7537 8.7537 8.7537 Å, 20.81 20.81 20.81°
Last column: nearest neighbours and their distance in Å.
Positions (direct):
Mn: 0.0000 0.0000 0.0000  6 Sn 2.84, 6 Mn 3.16
Sn: 0.2485 0.2485 0.2485  3 Ir 2.78, 3 Mn 2.84
Sn: 0.7515 0.7515 0.7515  3 Ir 2.78, 3 Mn 2.84
Ir: 0.5000 0.5000 0.5000  6 Sn 2.78

Properties
Energy of formation (eV/atom): 0.192
Magnetization (μB per atom): 0.81
D(E_F) (states/eV/atom): 0.79
V (Å³/atom): 18.530



No. 3
La5Ni2Hg | PBE | optimized geometry

Cell: 8.9096 8.9096 8.9096 Å, 125.92 125.92 80.02°
Last column: nearest neighbours and their distance in Å.
Positions (direct):
La: 0.0000 0.0000 0.0000  4 Ni 3.22, 2 Hg 3.41, 8 La 3.58
La: 0.0216 0.5216 0.8172  3 Ni 2.96-3.13
La: 0.2044 0.0216 0.5000  3 Ni 2.96-3.13
La: 0.2956 0.7956 0.8172  3 Ni 2.96-3.13
La: 0.4784 0.2956 0.5000  3 Ni 2.96-3.13
La: 0.5000 0.5000 0.0000  4 Ni 3.22, 2 Hg 3.41, 8 La 3.58
La: 0.5216 0.7044 0.5000  3 Ni 2.96-3.13
La: 0.7044 0.2044 0.1828  3 Ni 2.96-3.13
La: 0.7956 0.9784 0.5000  3 Ni 2.96-3.13
La: 0.9784 0.4784 0.1828  3 Ni 2.96-3.13
Ni: 0.1218 0.3782 0.5000  1 Ni 2.79, 4 La 2.96
Ni: 0.3782 0.8782 0.2564  1 Ni 2.79, 4 La 2.96
Ni: 0.6218 0.1218 0.7436  1 Ni 2.79, 4 La 2.96
Ni: 0.8782 0.6218 0.5000  1 Ni 2.79, 4 La 2.96
Hg: 0.2500 0.2500 0.0000  10 La 3.41-3.42
Hg: 0.7500 0.7500 0.0000  10 La 3.41-3.42

Properties
Energy of formation (eV/atom): -0.297
Magnetization (μB per atom): 0.00
D(E_F) (states/eV/atom): 1.34
V (Å³/atom): 27.989



Q: Among the records above, which one has the lowest energy of formation?
A: La5Ni2Hg